DFT (PBE) results for a relaxed CdCuTc crystal.

Values from the calculation:
DFT total energy = -14.38 eV for the cell shown
formation energy = 0.334 eV/atom
distance to the lowest polymorph of the same formula = 0.000 eV/atom

```
CdCuTc
1.0
6.441 -0.017 0.017
5.861 2.672 0.064
0.579 0.084 2.688
Cu Cd Tc
1 1 1
direct
0.326 0.326 0.674
0.996 0.996 0.004
0.679 0.679 0.321
```